{"formula": "NaGdH2S2O9", "functional": "PBE", "state": "relaxed", "lattice": [[-5.698, 2.426, 2.834], [-0.128, -5.911, -3.379], [2.687, -6.161, 10.675]], "species": ["Gd", "Gd", "Gd", "H", "H", "H", "H", "H", "H", "Na", "Na", "Na", "O", "O", "O", "O", "O", "O", "O", "O", "O", "O", "O", "O", "O", "O", "O", "O", "O", "O", "O", "O", "O", "O", "O", "O", "O", "O", "O", "S", "S", "S", "S", "S", "S"], "fractional_positions": [[0.564, 0.564, 0.000], [0.000, 0.436, 0.333], [0.436, 0.000, 0.667], [0.950, 0.051, 0.040], [0.898, 0.949, 0.294], [0.102, 0.050, 0.373], [0.050, 0.102, 0.627], [0.949, 0.898, 0.706], [0.051, 0.950, 0.960], [0.465, 0.000, 0.167], [0.535, 0.535, 0.500], [0.000, 0.465, 0.833], [0.914, 0.914, 0.000], [0.871, 0.493, 0.014], [0.168, 0.406, 0.029], [0.867, 0.253, 0.160], [0.132, 0.647, 0.164], [0.484, 0.353, 0.169], [0.614, 0.747, 0.174], [0.762, 0.594, 0.304], [0.378, 0.507, 0.320], [0.000, 0.086, 0.333], [0.622, 0.129, 0.347], [0.238, 0.832, 0.362], [0.386, 0.133, 0.493], [0.516, 0.868, 0.497], [0.868, 0.516, 0.503], [0.133, 0.386, 0.507], [0.832, 0.238, 0.638], [0.129, 0.622, 0.653], [0.086, 0.000, 0.667], [0.507, 0.378, 0.680], [0.594, 0.762, 0.696], [0.747, 0.614, 0.826], [0.353, 0.484, 0.831], [0.647, 0.132, 0.836], [0.253, 0.867, 0.840], [0.406, 0.168, 0.971], [0.493, 0.871, 0.986], [0.010, 0.453, 0.090], [0.557, 0.547, 0.243], [0.443, 0.990, 0.424], [0.990, 0.443, 0.576], [0.547, 0.557, 0.757], [0.453, 0.010, 0.910]], "magnetic_moment_mub_per_fu": 0.0, "e_tot_ev_per_atom": -6.2248, "spacegroup": "P3_221"}